Density functional theory data (GGA-PBE) for an optimized crystal structure of ScPbI2.

Values from the calculation:
Raw total energy: -3.464 eV/atom
Magnetization: 0.00 μB per formula unit
Relative energy among the computed polymorphs: 234 meV/atom
Uncorrected formation energy: -0.179 eV per atom

Unit cell a=7.780 b=7.780 c=7.780 alpha=90.00 beta=90.00 gamma=90.00
Space group Fm-3m (No. 225)
One atom of each set of equivalent atoms:
Sc 0.000 0.000 0.000
Pb 0.000 0.000 0.500
I 0.250 0.250 0.250